A relaxed structure of Hf3CoAu, computed with GGA-PBE.

The structure in POSCAR format:
```
Hf3CoAu
1.0
4.370 0.000 0.000
0.000 6.056 0.000
0.000 0.000 7.465
Hf Co Au
6 2 2
direct
0.250 0.002 0.160
0.250 0.498 0.160
0.250 0.750 0.563
0.750 0.250 0.437
0.750 0.502 0.840
0.750 0.998 0.840
0.250 0.750 0.896
0.750 0.250 0.104
0.250 0.250 0.663
0.750 0.750 0.337
```

Calculated values
M_tot   0.00 μB per formula unit
DOS(E_F)   1.049 states/eV/atom
Distance to the lowest polymorph of the same formula   75.6 meV per atom
Formation enthalpy at 0 K   -0.218 eV/atom